{"formula": "MgAg12Au6", "functional": "PBE-GGA", "state": "relaxed", "lattice_angstrom": [[5.700, 3.291, 3.147], [-5.700, 3.291, 3.147], [0.000, -6.581, 3.147]], "species": ["Mg", "Ag", "Ag", "Ag", "Ag", "Ag", "Ag", "Ag", "Ag", "Ag", "Ag", "Ag", "Ag", "Au", "Au", "Au", "Au", "Au", "Au"], "fractional_positions": [[0.000, 0.000, 0.000], [0.000, 0.263, 0.737], [0.000, 0.737, 0.263], [0.192, 0.586, 0.586], [0.263, 0.000, 0.737], [0.263, 0.737, 0.000], [0.414, 0.414, 0.808], [0.414, 0.808, 0.414], [0.586, 0.192, 0.586], [0.586, 0.586, 0.192], [0.737, 0.000, 0.263], [0.737, 0.263, 0.000], [0.808, 0.414, 0.414], [0.164, 0.164, 0.416], [0.164, 0.416, 0.164], [0.416, 0.164, 0.164], [0.584, 0.836, 0.836], [0.836, 0.584, 0.836], [0.836, 0.836, 0.584]], "space_group": "R-3m", "magnetic_moment_mub_per_cell": 0.00, "formation_enthalpy_0k_ev_per_atom": -0.009, "vol_a3_per_cell": 354.2, "density_g_cm3": 11.72}